No. 1
! PBE LiMgInBi, relaxed; values from VASP
&SYSTEM
  ibrav = 0, nat = 4, ntyp = 4
/
ATOMIC_SPECIES
Li 6.94 Li.upf
In 114.82 In.upf
Mg 24.30 Mg.upf
Bi 208.98 Bi.upf
CELL_PARAMETERS angstrom
-3.303 0.599 -3.451
-2.636 -3.548 1.907
0.959 4.256 3.180
ATOMIC_POSITIONS angstrom
Li -2.323 -0.382 2.157
In -2.970 -1.475 -0.772
Mg -2.658 1.689 -0.520
Bi -2.635 -3.547 1.906
! polymorph energy (0 for the lowest one)	0	meV/atom
! E_form	-0.2192	eV/atom

No. 2
! PBE LaCd2Sb, relaxed; values from VASP
&SYSTEM
  ibrav = 0, nat = 4, ntyp = 3
/
ATOMIC_SPECIES
Cd 112.41 Cd.upf
Sb 121.76 Sb.upf
La 138.91 La.upf
CELL_PARAMETERS angstrom
3.815 0.000 0.000
0.000 4.377 0.000
0.000 0.000 6.657
ATOMIC_POSITIONS angstrom
Cd 0.000 0.000 3.484
Cd 0.000 0.000 6.502
Sb 1.908 2.188 4.993
La 1.908 2.188 1.664
! ΔE_f (raw)	-0.269	eV/atom

No. 3
! PBE K2MgSn, relaxed; values from VASP
&SYSTEM
  ibrav = 0, nat = 4, ntyp = 3
/
ATOMIC_SPECIES
K 39.10 K.upf
Mg 24.30 Mg.upf
Sn 118.71 Sn.upf
CELL_PARAMETERS angstrom
0.000 4.212 4.212
4.212 0.000 4.212
4.212 4.212 0.000
ATOMIC_POSITIONS angstrom
K 6.319 6.319 6.319
K 2.106 2.106 2.106
Mg 0.000 0.000 0.000
Sn 4.212 4.212 4.212
! E_form	0.1549	eV/atom

No. 4
! PBE MgTaBe2O, relaxed; values from VASP
&SYSTEM
  ibrav = 0, nat = 5, ntyp = 4
/
ATOMIC_SPECIES
Ta 180.95 Ta.upf
Be 9.01 Be.upf
O 16.00 O.upf
Mg 24.30 Mg.upf
CELL_PARAMETERS angstrom
3.983 0.000 0.000
0.000 3.904 0.000
0.000 0.000 3.983
ATOMIC_POSITIONS angstrom
Ta 1.992 1.952 1.992
Be 0.000 0.000 1.992
Be 1.992 0.000 0.000
O 0.000 0.000 0.000
Mg 0.000 1.952 0.000
! ΔE_f (raw)	0.042	eV/atom